PrYAlHg (PBE, relaxed); formation energy = -0.399 eV/atom; energy = -16.883 eV per cell; calculated volume = 106.58 Å³/cell; distance to the lowest polymorph of the same formula = 41 meV per atom
1.0
5.322 0.000 0.000
2.661 4.609 0.000
2.661 1.536 4.345
Al Y Pr Hg
1 1 1 1
direct
0.000 0.000 0.000 Al
0.750 0.750 0.750 Y
0.250 0.250 0.250 Pr
0.500 0.500 0.500 Hg

TbZn9Ni2 (PBE, relaxed); formation energy = -0.169 eV/atom; energy = -29.692 eV per cell; calculated volume = 185.10 Å³/cell; distance to the lowest polymorph of the same formula = 89 meV per atom
1.0
2.981 0.000 0.000
0.000 8.468 0.000
0.000 -4.234 7.333
Zn Ni Tb
9 2 1
direct
0.500 0.190 0.810 Zn
0.500 0.379 0.190 Zn
0.500 0.621 0.810 Zn
0.500 0.810 0.621 Zn
0.000 0.000 0.500 Zn
0.500 0.190 0.379 Zn
0.500 0.810 0.190 Zn
0.000 0.500 0.500 Zn
0.000 0.500 0.000 Zn
0.000 0.667 0.333 Ni
0.000 0.333 0.667 Ni
0.000 0.000 0.000 Tb

TbTl2GeS4 (PBE, relaxed); raw formation energy = -0.81 eV/atom; energy = -37.010 eV per cell; calculated volume = 199.90 Å³/cell
1.0
-2.613 2.751 0.873
-3.472 -4.879 4.979
3.016 0.920 6.125
Tl Ge S Tb
2 1 4 1
direct
0.500 0.000 0.500 Tl
0.000 0.000 0.000 Tl
0.500 0.500 0.000 Ge
0.500 0.695 0.253 S
0.000 0.692 0.781 S
0.500 0.305 0.747 S
0.000 0.308 0.219 S
0.000 0.500 0.500 Tb

LuNpIr2 (PBE, relaxed); formation energy = -0.583 eV/atom; energy = -37.515 eV per cell; calculated volume = 77.63 Å³/cell; distance to the lowest polymorph of the same formula = 0 meV per atom
1.0
3.157 0.000 0.000
0.000 4.959 0.000
0.000 0.000 4.959
Ir Np Lu
2 1 1
direct
0.000 0.500 0.000 Ir
0.000 0.000 0.500 Ir
0.500 0.500 0.500 Np
0.500 0.000 0.000 Lu

LiIrPd2Au (PBE, relaxed); formation energy = 0.841 eV/atom; energy = -20.233 eV per cell; calculated volume = 104.14 Å³/cell
1.0
-2.201 4.151 -1.060
-3.739 -2.250 -1.051
-1.503 0.368 4.561
Pd Li Ir Au
2 1 1 1
direct
0.500 0.000 0.000 Pd
0.000 0.000 0.500 Pd
0.000 0.500 0.000 Li
0.000 0.000 0.000 Ir
0.500 0.500 0.500 Au

Hg2TePF (PBE, relaxed); raw formation energy = 0.20 eV/atom; energy = -10.031 eV per cell; calculated volume = 137.34 Å³/cell
1.0
-0.868 -3.272 4.532
2.655 -2.955 -1.625
4.359 2.475 2.622
F P Hg Te
1 1 2 1
direct
0.000 0.500 0.000 F
0.500 0.500 0.500 P
0.000 0.000 0.500 Hg
0.500 0.000 0.000 Hg
0.000 0.000 0.000 Te

Nb2BiSbAu (PBE, relaxed); raw formation energy = 1.10 eV/atom; energy = -25.931 eV per cell; calculated volume = 138.29 Å³/cell
1.0
5.240 0.000 0.000
0.000 5.037 0.000
0.000 0.000 5.240
Sb Bi Nb Au
1 1 2 1
direct
0.000 0.000 0.000 Sb
0.500 0.500 0.500 Bi
0.500 0.000 0.000 Nb
0.000 0.000 0.500 Nb
0.000 0.500 0.000 Au

Rb2HgPbI6 (PBE, relaxed); raw formation energy = -0.81 eV/atom; energy = -23.326 eV per cell; calculated volume = 476.41 Å³/cell; distance to the lowest polymorph of the same formula = 57 meV per atom
1.0
-0.390 -8.102 -3.319
-0.050 -3.320 8.111
-6.416 -5.443 2.468
Rb I Pb Hg
2 6 1 1
direct
0.750 0.250 0.500 Rb
0.250 0.750 0.500 Rb
0.256 0.744 0.000 I
0.744 0.256 0.000 I
0.744 0.744 0.511 I
0.744 0.744 0.000 I
0.256 0.256 0.489 I
0.256 0.256 0.000 I
0.000 0.000 0.000 Pb
0.500 0.500 0.000 Hg

Ir3WBr (PBE, relaxed); raw formation energy = 2.27 eV/atom; energy = -29.879 eV per cell; calculated volume = 95.13 Å³/cell; distance to the lowest polymorph of the same formula = 422 meV per atom
1.0
-0.560 4.437 -0.914
-2.849 0.371 3.547
3.522 1.006 2.724
Br Ir W
1 3 1
direct
0.000 0.000 0.000 Br
0.000 0.500 0.000 Ir
0.500 0.000 0.000 Ir
0.000 0.000 0.500 Ir
0.500 0.500 0.500 W

HfFeGe (PBE, relaxed); formation energy = -0.249 eV/atom; energy = -23.780 eV per cell; calculated volume = 46.33 Å³/cell
1.0
3.109 0.000 0.000
0.000 3.109 0.000
-1.554 -1.554 4.794
Fe Hf Ge
1 1 1
direct
0.265 0.265 0.530 Fe
0.942 0.942 0.884 Hf
0.643 0.643 0.286 Ge

Ti12P5C2 (PBE, relaxed); formation energy = -0.857 eV/atom; energy = -156.511 eV per cell; calculated volume = 296.86 Å³/cell
1.0
6.153 0.000 0.000
-3.076 6.785 0.103
0.000 -2.267 7.077
P C Ti
5 2 12
direct
0.684 0.368 0.838 P
0.000 0.000 0.500 P
0.316 0.632 0.162 P
0.704 0.407 0.356 P
0.296 0.593 0.644 P
0.261 0.000 0.000 C
0.739 0.000 0.000 C
0.001 0.002 0.181 Ti
0.605 0.713 0.437 Ti
0.087 0.677 0.915 Ti
0.494 0.988 0.795 Ti
0.506 0.012 0.205 Ti
0.999 0.998 0.819 Ti
0.892 0.287 0.563 Ti
0.591 0.677 0.915 Ti
0.409 0.323 0.085 Ti
0.108 0.713 0.437 Ti
0.913 0.323 0.085 Ti
0.395 0.287 0.563 Ti

SrHoPb2 (PBE, relaxed); formation energy = -0.467 eV/atom; energy = -15.544 eV per cell; calculated volume = 123.23 Å³/cell
1.0
3.646 0.000 0.000
0.000 3.646 0.000
0.000 0.000 9.268
Sr Pb Ho
1 2 1
direct
0.500 0.500 0.500 Sr
0.000 0.000 0.766 Pb
0.000 0.000 0.234 Pb
0.500 0.500 0.000 Ho

CaHg2Cl (PBE, relaxed); raw formation energy = -0.84 eV/atom; energy = -7.800 eV per cell; calculated volume = 126.48 Å³/cell; distance to the lowest polymorph of the same formula = 32 meV per atom
1.0
3.880 0.000 0.000
0.000 4.222 -0.036
0.000 2.172 7.702
Ca Hg Cl
1 2 1
direct
0.000 0.701 0.473 Ca
0.500 0.308 0.258 Hg
0.000 0.905 0.065 Hg
0.500 0.586 0.704 Cl

Ta2SbP (PBE, relaxed); raw formation energy = -0.03 eV/atom; energy = -33.370 eV per cell; calculated volume = 70.48 Å³/cell
1.0
4.631 0.000 0.000
0.000 4.631 0.000
0.000 0.000 3.286
P Ta Sb
1 2 1
direct
0.500 0.500 0.500 P
0.000 0.500 0.000 Ta
0.500 0.000 0.000 Ta
0.000 0.000 0.500 Sb

LiAg2SnGe (PBE, relaxed); formation energy = 0.401 eV/atom; energy = -14.232 eV per cell; calculated volume = 104.20 Å³/cell
1.0
-3.249 -2.983 -1.440
3.399 -3.382 -0.664
-0.597 -1.457 4.364
Li Ag Ge Sn
1 2 1 1
direct
0.000 0.000 0.000 Li
0.500 0.000 0.000 Ag
0.000 0.000 0.500 Ag
0.500 0.500 0.500 Ge
0.000 0.500 0.000 Sn

SrZn2Ir (PBE, relaxed); formation energy = -0.106 eV/atom; energy = -27.032 eV per cell; calculated volume = 199.35 Å³/cell
1.0
4.773 0.000 0.000
0.000 4.773 0.000
2.386 2.386 8.752
Zn Ir Sr
4 2 2
direct
0.875 0.625 0.250 Zn
0.875 0.125 0.250 Zn
0.375 0.125 0.750 Zn
0.875 0.125 0.750 Zn
0.000 0.000 0.000 Ir
0.750 0.250 0.500 Ir
0.250 0.750 0.500 Sr
0.500 0.500 0.000 Sr

Li2P3 (PBE, relaxed); formation energy = -0.235 eV/atom; energy = -42.461 eV per cell; calculated volume = 161.62 Å³/cell; distance to the lowest polymorph of the same formula = 0 meV per atom
1.0
0.000 5.343 6.365
2.376 0.000 6.365
2.376 5.343 0.000
Li P
4 6
direct
0.461 0.962 0.769 Li
0.481 0.442 0.789 Li
0.808 0.769 0.962 Li
0.288 0.789 0.442 Li
0.811 0.416 0.778 P
0.834 0.439 0.255 P
0.995 0.778 0.416 P
0.472 0.255 0.439 P
0.174 0.326 0.326 P
0.924 0.076 0.076 P

SrSn2As2Pd7 (PBE, relaxed); formation energy = -0.511 eV/atom; energy = -61.465 eV per cell; calculated volume = 241.36 Å³/cell
1.0
-1.976 -3.497 -1.099
0.898 -1.691 3.698
-12.571 1.706 6.890
As Pd Sr Sn
2 7 1 2
direct
0.632 0.632 0.828 As
0.368 0.368 0.172 As
0.194 0.690 0.729 Pd
0.216 0.216 0.419 Pd
0.806 0.310 0.271 Pd
0.310 0.806 0.271 Pd
0.690 0.194 0.729 Pd
0.500 0.500 0.000 Pd
0.784 0.784 0.581 Pd
0.000 0.000 0.000 Sr
0.726 0.726 0.404 Sn
0.274 0.274 0.596 Sn

CeScPa2N5 (PBE, relaxed); raw formation energy = -1.44 eV/atom; energy = -171.695 eV per cell; calculated volume = 277.56 Å³/cell
1.0
-1.422 -3.221 0.005
4.620 -0.105 5.868
-8.031 3.556 6.386
N Sc Pa Ce
10 2 4 2
direct
0.283 0.565 0.647 N
0.089 0.178 0.038 N
0.632 0.263 0.590 N
0.531 0.062 0.266 N
0.469 0.938 0.766 N
0.288 0.576 0.345 N
0.911 0.822 0.538 N
0.712 0.424 0.845 N
0.717 0.435 0.147 N
0.368 0.737 0.090 N
0.762 0.524 0.495 Sc
0.238 0.476 0.995 Sc
0.854 0.708 0.222 Pa
0.870 0.741 0.737 Pa
0.146 0.292 0.722 Pa
0.130 0.259 0.237 Pa
0.494 0.987 0.483 Ce
0.506 0.013 0.983 Ce

Dy2ZrZn (PBE, relaxed); formation energy = 0.258 eV/atom; energy = -17.995 eV per cell; calculated volume = 103.49 Å³/cell; distance to the lowest polymorph of the same formula = 381 meV per atom
1.0
-1.642 2.642 -0.983
-3.194 0.257 0.613
0.669 6.017 9.638
Zn Zr Dy
1 1 2
direct
0.500 0.500 0.500 Zn
0.000 0.000 0.000 Zr
0.096 0.096 0.713 Dy
0.904 0.904 0.287 Dy

TcHg4Cl (PBE, relaxed); raw formation energy = 0.65 eV/atom; energy = -9.520 eV per cell; calculated volume = 151.81 Å³/cell
1.0
3.378 -3.623 -3.365
0.593 -5.772 1.481
-2.579 -4.233 -3.360
Tc Hg Cl
1 4 1
direct
0.750 0.750 0.750 Tc
0.375 0.875 0.375 Hg
0.875 0.375 0.375 Hg
0.375 0.375 0.375 Hg
0.375 0.375 0.875 Hg
0.000 0.000 0.000 Cl

SrZr2Mn (PBE, relaxed); formation energy = 0.653 eV/atom; energy = -25.338 eV per cell; calculated volume = 99.24 Å³/cell; distance to the lowest polymorph of the same formula = 339 meV per atom
1.0
-0.706 5.924 -2.448
-5.007 -3.450 2.146
-1.003 1.686 2.501
Zr Mn Sr
2 1 1
direct
0.500 0.500 0.000 Zr
0.000 0.000 0.000 Zr
0.500 0.000 0.500 Mn
0.000 0.500 0.500 Sr

SnOsO2 (PBE, relaxed); raw formation energy = -0.40 eV/atom; energy = -26.768 eV per cell; calculated volume = 60.64 Å³/cell
1.0
1.890 0.000 6.531
-0.945 1.637 6.531
-0.945 -1.637 6.531
Os O Sn
1 2 1
direct
0.500 0.500 0.500 Os
0.122 0.122 0.122 O
0.878 0.878 0.878 O
0.000 0.000 0.000 Sn

Ti3IrOs2 (PBE, relaxed); formation energy = -0.745 eV/atom; energy = -59.474 eV per cell; calculated volume = 89.25 Å³/cell
1.0
3.113 0.000 0.000
0.000 3.113 0.000
0.000 0.000 9.211
Os Ti Ir
2 3 1
direct
0.500 0.500 0.168 Os
0.500 0.500 0.832 Os
0.000 0.000 0.668 Ti
0.000 0.000 0.332 Ti
0.000 0.000 0.000 Ti
0.500 0.500 0.500 Ir

Pu2PdPt (PBE, relaxed); formation energy = -0.580 eV/atom; energy = -42.218 eV per cell; calculated volume = 86.69 Å³/cell
1.0
3.606 0.000 0.000
0.000 4.903 0.000
0.000 0.000 4.903
Pu Pt Pd
2 1 1
direct
0.000 0.500 0.000 Pu
0.000 0.000 0.500 Pu
0.500 0.000 0.000 Pt
0.500 0.500 0.500 Pd

TaBeBiMo2 (PBE, relaxed); formation energy = 2.041 eV/atom; energy = -30.916 eV per cell; calculated volume = 125.79 Å³/cell
1.0
4.843 0.000 0.000
0.000 5.364 0.000
0.000 0.000 4.843
Bi Ta Mo Be
1 1 2 1
direct
0.000 0.500 0.000 Bi
0.000 0.000 0.000 Ta
0.500 0.000 0.000 Mo
0.000 0.000 0.500 Mo
0.500 0.500 0.500 Be